[1]
# BaMgH6Pt2 PBE optimized geometry
# Crystal system: trigonal
# E, eV/atom: -3.998
data_BaMgH6Pt2
_chemical_formula_sum 'Ba3 Mg3 H18 Pt6'
_space_group_name_H-M_alt 'R -3 m'
_space_group_IT_number 166
_space_group_name_Hall '-R 3 2"'
_cell_length_a 4.6866
_cell_length_b 4.6866
_cell_length_c 18.3073
_cell_angle_alpha 90.00
_cell_angle_beta 90.00
_cell_angle_gamma 120.00
loop_
_atom_site_label
_atom_site_fract_x
_atom_site_fract_y
_atom_site_fract_z
Ba1 0.0000 0.0000 0.0000
Mg1 0.0000 0.0000 0.5000
H1 0.0019 0.5010 0.0767
Pt1 0.0000 0.0000 0.2059



[2]
# MoN PBE optimized geometry
# E_form (uncorrected), eV per atom: 0.01
# Crystal system: tetragonal
data_MoN
_chemical_formula_sum 'Mo4 N4'
_space_group_name_H-M_alt 'P 42/m n m'
_space_group_IT_number 136
_space_group_name_Hall '-P 4n 2n'
_cell_length_a 5.601
_cell_length_b 5.601
_cell_length_c 3.386
_cell_angle_alpha 90.00
_cell_angle_beta 90.00
_cell_angle_gamma 90.00
loop_
_atom_site_label
_atom_site_fract_x
_atom_site_fract_y
_atom_site_fract_z
Mo1 0.172 0.172 0.000
N1 0.188 0.812 0.000



[3]
# PuNpCuPt PBE optimized geometry
# DFT formation energy, eV/f.u.: -1.16
# Crystal system: cubic
data_PuNpCuPt
_chemical_formula_sum 'Pu4 Np4 Cu4 Pt4'
_space_group_name_H-M_alt 'F -4 3 m'
_space_group_IT_number 216
_space_group_name_Hall 'F -4 2 3'
_cell_length_a 6.651
_cell_length_b 6.651
_cell_length_c 6.651
_cell_angle_alpha 90.00
_cell_angle_beta 90.00
_cell_angle_gamma 90.00
loop_
_atom_site_label
_atom_site_fract_x
_atom_site_fract_y
_atom_site_fract_z
Pu1 0.000 0.000 0.000
Np1 0.250 0.250 0.250
Cu1 0.250 0.250 0.750
Pt1 0.000 0.000 0.500



[4]
# ThNiH PBE optimized geometry
# Crystal system: monoclinic
# E, eV/atom: -5.967
data_ThNiH
_chemical_formula_sum 'Th2 Ni2 H2'
_space_group_name_H-M_alt 'P 1 21/m 1'
_space_group_IT_number 11
_cell_length_a 3.846
_cell_length_b 4.421
_cell_length_c 5.461
_cell_angle_alpha 90.00
_cell_angle_beta 101.15
_cell_angle_gamma 90.00
loop_
_space_group_symop_operation_xyz
'x,y,z'
'-x,-y,-z'
'-x,y+1/2,-z'
'x,-y+1/2,z'
loop_
_atom_site_label
_atom_site_fract_x
_atom_site_fract_y
_atom_site_fract_z
Th1 0.139 0.250 0.278
Ni1 0.437 0.250 0.854
H1 0.329 0.750 0.410



[5]
# Hf2NbTl PBE optimized geometry
# DFT formation energy, eV/f.u.: 0.43
# Crystal system: monoclinic
data_Hf2NbTl
_chemical_formula_sum 'Hf4 Nb2 Tl2'
_space_group_name_H-M_alt 'P 1 m 1'
_space_group_IT_number 6
_cell_length_a 6.614
_cell_length_b 3.793
_cell_length_c 7.578
_cell_angle_alpha 90.00
_cell_angle_beta 115.91
_cell_angle_gamma 90.00
loop_
_space_group_symop_operation_xyz
'x,y,z'
'x,-y,z'
loop_
_atom_site_label
_atom_site_fract_x
_atom_site_fract_y
_atom_site_fract_z
Hf1 0.000 0.000 0.000
Hf2 0.099 0.500 0.737
Hf3 0.287 0.000 0.516
Hf4 0.726 0.000 0.495
Nb1 0.369 0.500 0.251
Nb2 0.645 0.500 0.757
Tl1 0.484 0.000 0.995
Tl2 0.893 0.500 0.263



[6]
# CaAgTe2 PBE optimized geometry
# E_form (uncorrected), eV per atom: -0.65
# Crystal system: monoclinic
data_CaAgTe2
_chemical_formula_sum 'Ca2 Ag2 Te4'
_space_group_name_H-M_alt 'C 1 2/m 1'
_space_group_IT_number 12
_cell_length_a 7.966
_cell_length_b 4.447
_cell_length_c 6.959
_cell_angle_alpha 90.00
_cell_angle_beta 107.23
_cell_angle_gamma 90.00
loop_
_space_group_symop_operation_xyz
'x,y,z'
'-x,-y,-z'
'-x,y,-z'
'x,-y,z'
'x+1/2,y+1/2,z'
'-x+1/2,-y+1/2,-z'
'-x+1/2,y+1/2,-z'
'x+1/2,-y+1/2,z'
loop_
_atom_site_label
_atom_site_fract_x
_atom_site_fract_y
_atom_site_fract_z
Ca1 0.000 0.000 0.000
Ag1 0.000 0.500 0.500
Te1 0.244 0.500 0.266



[7]
# Pm2NdTmSb4 PBE optimized geometry
# E_form (uncorrected), eV per atom: -1.15
# Crystal system: monoclinic
data_Pm2NdTmSb4
_chemical_formula_sum 'Pm2 Nd1 Tm1 Sb4'
_space_group_name_H-M_alt 'P 1 2/m 1'
_space_group_IT_number 10
_cell_length_a 7.728
_cell_length_b 4.467
_cell_length_c 7.730
_cell_angle_alpha 90.00
_cell_angle_beta 109.49
_cell_angle_gamma 90.00
loop_
_space_group_symop_operation_xyz
'x,y,z'
'-x,-y,-z'
'-x,y,-z'
'x,-y,z'
loop_
_atom_site_label
_atom_site_fract_x
_atom_site_fract_y
_atom_site_fract_z
Pm1 0.000 0.000 0.000
Pm2 0.500 0.500 0.000
Nd1 0.000 0.500 0.500
Tm1 0.500 0.000 0.500
Sb1 0.255 0.000 0.748
Sb2 0.258 0.500 0.256



[8]
# SrGa2Au2 PBE optimized geometry
# DFT formation energy, eV/f.u.: -2.83
# Crystal system: tetragonal
data_SrGa2Au2
_chemical_formula_sum 'Sr2 Ga4 Au4'
_space_group_name_H-M_alt 'I 4/m m m'
_space_group_IT_number 139
_space_group_name_Hall '-I 4 2'
_cell_length_a 4.723
_cell_length_b 4.723
_cell_length_c 10.031
_cell_angle_alpha 90.00
_cell_angle_beta 90.00
_cell_angle_gamma 90.00
loop_
_atom_site_label
_atom_site_fract_x
_atom_site_fract_y
_atom_site_fract_z
Sr1 0.000 0.000 0.000
Ga1 0.000 0.000 0.371
Au1 0.000 0.500 0.250